Density functional theory data (GGA-PBE) for a relaxed YSc4Sb crystal.

Computed properties:
Total magnetic moment   2.5 μB per formula unit
Theoretical density   4.13 g/cm³
VASP energy   -0.219 hartree per atom
Formation energy (no corrections)   0.031 eV per atom

abc: 6.055 6.055 6.055
angles: 60.00 60.00 60.00
Sites, in units of the cell vectors:
Y (0.750, 0.750, 0.750)
Sc (0.376, 0.376, 0.376)
Sc (0.872, 0.376, 0.376)
Sb (0.000, 0.000, 0.000)
Sc (0.376, 0.872, 0.376)
Sc (0.376, 0.376, 0.872)